Entry 1:
The following is a PBE-GGA calculation of a geometry-optimized BaTcBr6 structure, from Alexandria.

The space group is P-1 (No. 2) and the conventional cell measures 7.053, 7.063 and 7.675 Å, with angles of 90.06, 117.29 and 119.86 degrees. The inequivalent atoms are Ba at (0.000, 0.000, 0.000), Tc at (0.000, 0.500, 0.500), Br at (0.170, 0.479, 0.277), Br at (0.201, 0.309, 0.723) and Br at (0.413, 0.891, 0.723).

The calculation puts the energy above the most stable polymorph in this dataset at 14.9 meV per atom.

***

Entry 2:
The following is a PBE-GGA calculation of a geometry-optimized BaTcBr structure, from Alexandria.

The space group is P3m1 (No. 156) and the conventional cell measures 3.9038, 3.9038 and 7.0170 Å, with angles of 90.00, 90.00 and 120.00 degrees. The inequivalent atoms are Ba at (0.0000, 0.0000, 0.0000), Tc at (0.3333, 0.6667, 0.6371) and Br at (0.6667, 0.3333, 0.3598).

The calculation puts the energy above the most stable polymorph in this dataset at 245.9 meV per atom.

***

Computed total DFT energy (no corrections), in the same sequence as the records: -3.801; -4.102 eV per atom.
Computed E_form (uncorrected), in the same sequence as the records: -1010; 551 meV per atom.